1.
This record from the Alexandria database describes a geometry-optimized BaLaCdSn structure. The functional is PBE.

Output
Space group ... No. 216

Cell and atoms, written as extended XYZ:
```
4
Lattice="5.774 0.000 0.000 2.887 5.001 0.000 2.887 1.667 4.715" Properties=species:S:1:pos:R:3 pbc="T T T"
Ba 0.000 0.000 0.000
Sn 2.887 1.667 1.179
Cd 8.661 5.001 3.536
La 5.774 3.334 2.357
```


2.
This record from the Alexandria database describes a geometry-optimized BaSrLaCd2 structure. The functional is PBE.

Output
Space group ... No. 123

Cell and atoms, written as extended XYZ:
```
5
Lattice="5.997 0.000 0.000 0.000 6.193 0.000 0.000 0.000 5.997" Properties=species:S:1:pos:R:3 pbc="T T T"
Cd 0.000 0.000 2.999
Ba 0.000 0.000 0.000
Cd 2.999 0.000 0.000
Sr 0.000 3.097 0.000
La 2.999 3.097 2.999
```


3.
This record from the Alexandria database describes a geometry-optimized BaSrLa2Cd structure. The functional is PBE.

Output
Space group ... No. 123

Cell and atoms, written as extended XYZ:
```
5
Lattice="5.954 0.000 0.000 0.000 6.263 0.000 0.000 0.000 5.954" Properties=species:S:1:pos:R:3 pbc="T T T"
Cd 2.977 3.131 2.977
La 2.977 0.000 0.000
Ba 0.000 0.000 0.000
La 0.000 0.000 2.977
Sr 0.000 3.131 0.000
```


4.
This record from the Alexandria database describes a geometry-optimized BaLa2CdTc structure. The functional is PBE.

Output
Space group ... No. 123
Energy above the most stable polymorph in this dataset ... 0 meV per atom

Cell and atoms, written as extended XYZ:
```
5
Lattice="5.413 0.000 0.000 0.000 5.413 0.000 0.000 0.000 5.761" Properties=species:S:1:pos:R:3 pbc="T T T"
La 0.000 2.706 0.000
Ba 2.706 2.706 2.880
Tc 0.000 0.000 0.000
La 2.706 0.000 0.000
Cd 0.000 0.000 2.880
```


| no. | energy (eV for the cell shown) | theoretical density (g cm⁻³) |
| --- | --- | --- |
| 1 | -13.6 | 6.19 |
| 2 | -7.0 | 4.39 |
| 3 | -10.5 | 4.60 |
| 4 | -23.1 | 6.15 |